PBE-GGA Tl3Sb3Au2, optimized geometry; raw formation energy = -0.5 eV per formula unit
1.0
8.766 0.000 0.000
0.000 17.430 0.000
0.000 0.000 6.071
Tl Sb Au
12 12 8
Cartesian
0.150 2.122 0.000
0.150 6.593 0.000
1.867 4.358 3.025
2.516 13.073 6.060
4.233 10.837 3.036
4.233 15.308 3.036
4.533 2.122 3.036
4.533 6.593 3.036
6.250 4.358 0.011
6.899 13.073 3.047
8.616 10.837 6.071
8.616 15.308 6.071
1.624 13.073 3.025
1.821 0.142 3.034
1.821 8.573 3.034
2.562 8.857 6.069
2.562 17.288 6.069
2.759 4.358 6.060
6.007 13.073 0.011
6.204 0.142 0.002
6.204 8.573 0.002
6.945 8.857 3.038
6.945 17.288 3.038
7.142 4.358 3.047
0.084 10.818 3.035
0.084 15.327 3.035
4.299 2.103 6.071
4.299 6.612 6.071
4.467 10.818 0.000
4.467 15.327 0.000
8.682 2.103 3.036
8.682 6.612 3.036